# 1
Below is a relaxed structure of PrGaBi2, with properties calculated at the PBE level.

Cell: 5.1241 5.1241 24.6445 Å, 90.00 90.00 120.00°
Closest atoms and distances in Å follow each position.
Space group R-3m (No. 166, hexagonal axes)
Unique sites:
Pr (0.0000, 0.0000, 0.0000) [3 per cell]  6 Bi 3.31
Ga (0.0000, 0.0000, 0.5000) [3 per cell]  2 Bi 2.62
Bi (0.0000, 0.0000, 0.3936) [6 per cell]  1 Ga 2.62

Summary:
Energy relative to the elements: -2 meV per atom
Electronic total energy: -46.73 eV for the cell shown
ΔE to the lowest computed polymorph: 438 meV per atom

# 2
Below is a relaxed structure of NaY3Se, with properties calculated at the PBE level.

Cell: 5.4933 5.4933 5.4933 Å, 90.00 90.00 90.00°
Closest atoms and distances in Å follow each position.
Space group Pm-3m (No. 221)
Unique sites:
Na (0.0000, 0.0000, 0.0000) [1 per cell]  12 Y 3.88
Y (0.0000, 0.5000, 0.5000) [3 per cell]  2 Se 2.75
Se (0.5000, 0.5000, 0.5000) [1 per cell]  6 Y 2.75

Summary:
Formation energy without anion corrections: -0.346 eV per atom
Electronic total energy: -25.92 eV for the cell shown
ΔE to the lowest computed polymorph: 0 meV per atom

# 3
Below is a relaxed structure of YHf2Zn6, with properties calculated at the PBE level.

Cell: 7.6047 7.6047 3.2117 Å, 90.00 90.00 120.00°
Closest atoms and distances in Å follow each position.
Space group P6/mmm (No. 191)
Unique sites:
Y (0.0000, 0.0000, 0.0000) [1 per cell]  12 Zn 3.03, 2 Y 3.21
Hf (0.3333, 0.6667, 0.0000) [2 per cell]  12 Zn 2.98, 2 Hf 3.21
Zn (0.0000, 0.3386, 0.5000) [6 per cell]  3 Zn 2.45-2.58

Summary:
Energy relative to the elements: -254 meV per atom
Electronic total energy: -36.30 eV for the cell shown

# 4
Below is a relaxed structure of Ac4SiIrBr2, with properties calculated at the PBE level.

Cell: 7.9882 4.3970 8.3037 Å, 90.00 106.45 90.00°
Closest atoms and distances in Å follow each position.
Space group P2/m (No. 10)
Unique sites:
Ac (0.2190, 0.0000, 0.1978) [2 per cell]  2 Ir 2.99, 1 Si 3.13
Ac (0.2519, 0.5000, 0.7978) [2 per cell]  1 Ir 2.96, 2 Si 3.11
Si (0.5000, 0.0000, 0.0000) [1 per cell]  6 Ac 3.11-3.13
Ir (0.0000, 0.5000, 0.0000) [1 per cell]  6 Ac 2.96-2.99
Br (0.0000, 0.0000, 0.5000) [1 per cell]  6 Ac 3.44-3.49
Br (0.5000, 0.5000, 0.5000) [1 per cell]  6 Ac 3.58-3.60

Summary:
Formation energy without anion corrections: -1.067 eV per atom
Electronic total energy: -42.60 eV for the cell shown

# 5
Below is a relaxed structure of Pm5Er6, with properties calculated at the PBE level.

Cell: 5.5667 8.1143 16.0480 Å, 90.00 90.00 90.00°
Closest atoms and distances in Å follow each position.
Space group Immm (No. 71)
Unique sites:
Pm (0.0000, 0.0000, 0.0000) [2 per cell]  4 Er 3.24
Pm (0.0000, 0.0000, 0.3013) [4 per cell]  8 Er 3.39-3.60, 2 Pm 3.57
Pm (0.0000, 0.5000, 0.3376) [4 per cell]  8 Er 3.53-3.69, 4 Pm 3.57-3.81
Er (0.0000, 0.2060, 0.5000) [4 per cell]  5 Er 3.34-3.54, 6 Pm 3.53-3.67
Er (0.0000, 0.2945, 0.1367) [8 per cell]  5 Pm 3.24-3.63, 3 Er 3.34-3.54

Summary:
Energy relative to the elements: 115 meV per atom
Electronic total energy: -99.73 eV for the cell shown
ΔE to the lowest computed polymorph: 0 meV per atom

# 6
Below is a relaxed structure of TaNb3H, with properties calculated at the PBE level.

Cell: 4.9317 4.9317 4.9317 Å, 90.00 90.00 90.00°
Closest atoms and distances in Å follow each position.
Space group Pm-3m (No. 221)
Unique sites:
Ta (0.0000, 0.0000, 0.0000) [1 per cell]  6 Nb 2.47
Nb (0.0000, 0.0000, 0.5000) [3 per cell]  2 Ta 2.47
H (0.5000, 0.5000, 0.5000) [1 per cell]  12 Nb 3.49

Summary:
Electronic total energy: -34.54 eV for the cell shown
ΔE to the lowest computed polymorph: 2278 meV per atom

Q: Among the records above, which one has the highest electronic total energy?
A: NaY3Se

Please write out number 1 again, unchanged.
Below is a relaxed structure of PrGaBi2, with properties calculated at the PBE level.

Cell: 5.1241 5.1241 24.6445 Å, 90.00 90.00 120.00°
Closest atoms and distances in Å follow each position.
Space group R-3m (No. 166, hexagonal axes)
Unique sites:
Pr (0.0000, 0.0000, 0.0000) [3 per cell]  6 Bi 3.31
Ga (0.0000, 0.0000, 0.5000) [3 per cell]  2 Bi 2.62
Bi (0.0000, 0.0000, 0.3936) [6 per cell]  1 Ga 2.62

Summary:
Energy relative to the elements: -2 meV per atom
Electronic total energy: -46.73 eV for the cell shown
ΔE to the lowest computed polymorph: 438 meV per atom

Please write out number 6 again, unchanged.
Below is a relaxed structure of TaNb3H, with properties calculated at the PBE level.

Cell: 4.9317 4.9317 4.9317 Å, 90.00 90.00 90.00°
Closest atoms and distances in Å follow each position.
Space group Pm-3m (No. 221)
Unique sites:
Ta (0.0000, 0.0000, 0.0000) [1 per cell]  6 Nb 2.47
Nb (0.0000, 0.0000, 0.5000) [3 per cell]  2 Ta 2.47
H (0.5000, 0.5000, 0.5000) [1 per cell]  12 Nb 3.49

Summary:
Electronic total energy: -34.54 eV for the cell shown
ΔE to the lowest computed polymorph: 2278 meV per atom